(1)
DFT (PBE-GGA) results for a relaxed structure of LiNd3Th3Se8.

Unit cell a=8.367 b=8.366 c=8.385 alpha=119.93 beta=90.00 gamma=120.00
Element x y z (fractional)
Se: 0.753 0.997 0.742
Se: 0.750 0.500 0.751
Se: 0.247 0.003 0.258
Se: 0.244 0.489 0.742
Se: 0.756 0.003 0.258
Se: 0.250 0.500 0.249
Se: 0.756 0.511 0.258
Se: 0.244 0.997 0.742
Li: 0.000 0.000 0.500
Th: 0.000 0.500 0.500
Th: 0.500 0.500 0.500
Th: 0.500 0.000 0.500
Nd: 0.000 0.000 0.000
Nd: 0.500 0.500 0.000
Nd: 0.000 0.500 0.000

The energy is -6.1178 eV/atom. The calculation puts the uncorrected formation energy at -1.694 eV/atom. Its space group is No. 166.


(2)
DFT (PBE-GGA) results for a relaxed structure of Na2LiHgF6.

Unit cell a=5.698 b=5.698 c=5.899 alpha=61.09 beta=61.10 gamma=59.98
Element x y z (fractional)
F: 0.588 0.196 0.257
F: 0.959 0.588 0.256
F: 0.678 0.106 0.773
F: 0.196 0.959 0.256
F: 0.444 0.678 0.773
F: 0.105 0.444 0.773
Na: 0.529 0.529 0.412
Na: 0.031 0.031 0.907
Li: 0.313 0.313 0.061
Hg: 0.818 0.818 0.547

The energy is -3.7338 eV/atom. The calculation puts the uncorrected formation energy at -2.126 eV/atom. Its space group is No. 146.


(3)
DFT (PBE-GGA) results for a relaxed structure of RbMnBr2.

Unit cell a=8.539 b=8.539 c=8.539 alpha=36.08 beta=36.08 gamma=36.08
Element x y z (fractional)
Br: 0.099 0.099 0.099
Br: 0.901 0.901 0.901
Rb: 0.500 0.500 0.500
Mn: 0.000 0.000 0.000

The energy is -4.0956 eV/atom. The calculation puts the uncorrected formation energy at -0.725 eV/atom. Its polymorph energy (0 for the lowest one) is 0 meV per atom. Its space group is No. 166.


(4)
DFT (PBE-GGA) results for a relaxed structure of Tm6Ni2Sn.

Unit cell a=8.302 b=8.302 c=8.302 alpha=105.65 beta=109.94 gamma=112.90
Element x y z (fractional)
Tm: 0.526 0.709 0.817
Tm: 0.109 0.291 0.817
Tm: 0.891 0.709 0.183
Tm: 0.205 0.766 0.971
Tm: 0.309 0.983 0.674
Tm: 0.474 0.291 0.183
Tm: 0.691 0.365 0.674
Tm: 0.795 0.766 0.561
Tm: 0.309 0.635 0.326
Tm: 0.691 0.017 0.326
Tm: 0.205 0.234 0.439
Tm: 0.795 0.234 0.029
Ni: 0.651 0.000 0.651
Ni: 0.500 0.376 0.876
Ni: 0.349 0.000 0.349
Ni: 0.500 0.624 0.124
Sn: 0.000 0.500 0.500
Sn: 0.000 0.000 0.000

The energy is -5.1459 eV/atom. As for the formation energy: -0.435 eV/atom. Its space group is No. 71.


(5)
DFT (PBE-GGA) results for a relaxed structure of RbTeS.

Unit cell a=4.380 b=5.386 c=11.720 alpha=125.96 beta=100.77 gamma=90.00
Element x y z (fractional)
Te: 0.699 0.249 0.398
Te: 0.301 0.751 0.602
Rb: 0.086 0.439 0.171
Rb: 0.914 0.561 0.829
S: 0.433 0.129 0.866
S: 0.567 0.871 0.134

The energy is -3.3195 eV/atom. The calculation puts the uncorrected formation energy at -0.574 eV/atom. Its polymorph energy (0 for the lowest one) is 0 meV per atom. Its space group is No. 12.


(6)
DFT (PBE-GGA) results for a relaxed structure of YSICl2.

Unit cell a=5.134 b=5.134 c=5.737 alpha=90.00 beta=90.00 gamma=90.00
Element x y z (fractional)
S: 0.000 0.000 0.500
I: 0.500 0.500 0.500
Cl: 0.500 0.000 0.000
Cl: 0.000 0.500 0.000
Y: 0.000 0.000 0.000

The energy is -4.2790 eV/atom. The calculation puts the uncorrected formation energy at -1.112 eV/atom. Its polymorph energy (0 for the lowest one) is 0 meV per atom. Its space group is No. 123.


Look up the energy of the third one. -4.0956 eV/atom